Below is a relaxed structure of Ag2RuPt, with properties calculated at the PBE level.

Properties
Its crystal system is orthorhombic. For the formation energy, the calculation gives 389 meV per atom. The calculation puts the excess energy over the best structure of this formula in the dataset at 214 meV per atom. The value obtained for the calculated volume is 65.74 Å³ per cell. Its total energy is -4.8653 eV per atom.

Cell: 2.7619 4.3255 5.5025 Å, 90.00 90.00 90.00°
With the nearest neighbours (Å) after each atom.
Fractional coordinates of all 4 atoms:
Ag1 0.0000 0.0000 0.2483  4 Ag 2.73-2.77, 4 Ru 2.91, 4 Pt 2.92
Ag2 0.0000 0.0000 0.7517  4 Ag 2.73-2.77, 4 Ru 2.91, 4 Pt 2.92
Ru1 0.5000 0.5000 0.0000  2 Pt 2.75, 2 Ru 2.76, 8 Ag 2.91
Pt1 0.5000 0.5000 0.5000  2 Ru 2.75, 2 Pt 2.76, 8 Ag 2.92


Below is a relaxed structure of AgRu2Pt, with properties calculated at the PBE level.

Properties
Its crystal system is cubic. For the formation energy, the calculation gives 544 meV per atom. The calculation puts the excess energy over the best structure of this formula in the dataset at 424 meV per atom. The value obtained for the calculated volume is 62.53 Å³ per cell. Its total energy is -6.3171 eV per atom.

Cell: 4.4552 4.4552 4.4552 Å, 60.00 60.00 60.00°
With the nearest neighbours (Å) after each atom.
Fractional coordinates of all 4 atoms:
Ag1 0.0000 0.0000 0.0000  4 Pt 2.73, 4 Ru 2.73
Ru1 0.2500 0.2500 0.2500  4 Ru 2.73, 4 Ag 2.73
Ru2 0.5000 0.5000 0.5000  4 Pt 2.73, 4 Ru 2.73
Pt1 0.7500 0.7500 0.7500  4 Ru 2.73, 4 Ag 2.73


Below is a relaxed structure of AgRu2Pt, with properties calculated at the PBE level.

Properties
Its crystal system is monoclinic. For the formation energy, the calculation gives 349 meV per atom. The calculation puts the excess energy over the best structure of this formula in the dataset at 229 meV per atom. The value obtained for the calculated volume is 61.85 Å³ per cell. Its total energy is -6.5118 eV per atom.

Cell: 2.7529 4.2651 5.4416 Å, 90.00 104.53 90.00°
With the nearest neighbours (Å) after each atom.
Fractional coordinates of all 4 atoms:
Ag1 0.0000 0.0000 0.0000  7 Ru 2.73-2.89, 2 Ag 2.75, 4 Pt 2.94-2.95
Ru1 0.2615 0.0000 0.5184  4 Ru 2.47-2.75, 1 Ag 2.73
Ru2 0.3774 0.5000 0.7535  4 Ru 2.47-2.75
Pt1 0.6432 0.5000 0.2821  2 Pt 2.75, 7 Ru 2.78-2.84, 4 Ag 2.94-2.95


Below is a relaxed structure of AgRu2Pt, with properties calculated at the PBE level.

Properties
Its crystal system is tetragonal. For the formation energy, the calculation gives 379 meV per atom. The calculation puts the excess energy over the best structure of this formula in the dataset at 258 meV per atom. The value obtained for the calculated volume is 61.25 Å³ per cell. Its total energy is -6.4824 eV per atom.

Cell: 2.7400 2.7400 8.1585 Å, 90.00 90.00 90.00°
With the nearest neighbours (Å) after each atom.
Fractional coordinates of all 4 atoms:
Ag1 0.0000 0.0000 0.0000  4 Ag 2.74, 8 Ru 2.89
Ru1 0.5000 0.5000 0.2632  4 Pt 2.74, 4 Ru 2.74, 4 Ag 2.89
Ru2 0.5000 0.5000 0.7368  4 Pt 2.74, 4 Ru 2.74, 4 Ag 2.89
Pt1 0.0000 0.0000 0.5000  8 Ru 2.74, 4 Pt 2.74


> Which value of calculated volume does entry 1 give?

65.74 Å³ per cell


> Among the records above, which one has the highest excess energy over the best structure of this formula in the dataset?

number 2


> Which formula does entry 3 have?

AgRu2Pt